{"formula": "HoHfCuPt", "functional": "GGA-PBE", "state": "optimized geometry", "lattice": [[4.773, 0.000, 0.000], [2.386, 4.133, 0.000], [2.386, 1.378, 3.897]], "species": ["Cu", "Ho", "Hf", "Pt"], "frac_coords": [[0.250, 0.250, 0.250], [0.000, 0.000, 0.000], [0.500, 0.500, 0.500], [0.750, 0.750, 0.750]], "mass_density_g_cm3": 13.0, "e_tot_ev_per_cell": -27.12, "e_form_kj_per_mol_atoms": -59.2, "m_tot_mub_per_atom": 0.00, "dos_at_fermi_per_ev_cell": 3.556}



{"formula": "HoHfCuRh", "functional": "GGA-PBE", "state": "optimized geometry", "lattice": [[4.731, 0.000, 0.000], [2.365, 4.097, 0.000], [2.365, 1.366, 3.862]], "species": ["Cu", "Rh", "Ho", "Hf"], "frac_coords": [[0.250, 0.250, 0.250], [0.750, 0.750, 0.750], [0.000, 0.000, 0.000], [0.500, 0.500, 0.500]], "mass_density_g_cm3": 11.3, "e_tot_ev_per_cell": -27.93, "e_form_kj_per_mol_atoms": -47.1, "m_tot_mub_per_atom": 0.00, "dos_at_fermi_per_ev_cell": 2.441}



{"formula": "Ho2HfCuS5", "functional": "GGA-PBE", "state": "optimized geometry", "lattice": [[-2.860, -0.507, 2.312], [1.713, -7.709, -2.552], [7.268, -1.270, 8.714]], "species": ["S", "S", "S", "S", "Cu", "Cu", "S", "Hf", "S", "S", "Ho", "Ho", "S", "Ho", "S", "S", "Hf", "Ho"], "frac_coords": [[0.959, 0.919, 0.552], [0.290, 0.580, 0.674], [0.710, 0.420, 0.174], [0.351, 0.703, 0.008], [0.440, 0.879, 0.442], [0.560, 0.121, 0.942], [0.494, 0.987, 0.770], [0.189, 0.378, 0.016], [0.041, 0.081, 0.052], [0.506, 0.013, 0.270], [0.888, 0.776, 0.191], [0.112, 0.224, 0.691], [0.649, 0.297, 0.508], [0.872, 0.745, 0.817], [0.308, 0.615, 0.355], [0.692, 0.385, 0.855], [0.811, 0.622, 0.516], [0.128, 0.255, 0.317]], "mass_density_g_cm3": 7.1, "e_tot_ev_per_cell": -115.91, "m_tot_mub_per_atom": 0.00, "raw_formation_energy_ev_per_atom": -1.57, "dos_at_fermi_per_ev_cell": 1.709}



{"formula": "HoHfCuS4", "functional": "GGA-PBE", "state": "optimized geometry", "lattice": [[7.439, 0.000, 0.000], [3.719, 6.561, 0.079], [3.719, 2.074, 6.225]], "species": ["Ho", "S", "S", "S", "S", "S", "Hf", "S", "Hf", "S", "Ho", "Cu", "S", "Cu"], "frac_coords": [[0.000, 0.000, 0.000], [0.267, 0.238, 0.738], [0.255, 0.232, 0.259], [0.745, 0.241, 0.268], [0.745, 0.768, 0.741], [0.255, 0.759, 0.732], [0.000, 0.000, 0.500], [0.242, 0.762, 0.262], [0.500, 0.000, 0.500], [0.733, 0.762, 0.262], [0.000, 0.500, 0.500], [0.378, 0.372, 0.872], [0.758, 0.238, 0.738], [0.622, 0.628, 0.128]], "mass_density_g_cm3": 5.9, "e_tot_ev_per_cell": -90.67, "m_tot_mub_per_atom": 0.00, "raw_formation_energy_ev_per_atom": -1.46, "dos_at_fermi_per_ev_cell": 0.520}



{"formula": "HoHfCuTc", "functional": "GGA-PBE", "state": "optimized geometry", "lattice": [[4.715, 0.000, 0.000], [2.358, 4.083, 0.000], [2.358, 1.361, 3.850]], "species": ["Cu", "Ho", "Hf", "Tc"], "frac_coords": [[0.250, 0.250, 0.250], [0.000, 0.000, 0.000], [0.500, 0.500, 0.500], [0.750, 0.750, 0.750]], "mass_density_g_cm3": 11.3, "e_tot_ev_per_cell": -29.79, "e_form_kj_per_mol_atoms": -19.2, "m_tot_mub_per_atom": 0.00, "dos_at_fermi_per_ev_cell": 2.994}



{"formula": "HoHfZnCu", "functional": "GGA-PBE", "state": "optimized geometry", "lattice": [[4.789, 0.000, 0.000], [2.395, 4.147, 0.000], [2.395, 1.382, 3.910]], "species": ["Ho", "Hf", "Cu", "Zn"], "frac_coords": [[0.000, 0.000, 0.000], [0.500, 0.500, 0.500], [0.250, 0.250, 0.250], [0.750, 0.750, 0.750]], "mass_density_g_cm3": 10.1, "e_tot_ev_per_cell": -20.42, "e_form_kj_per_mol_atoms": -12.5, "m_tot_mub_per_atom": 0.23, "dos_at_fermi_per_ev_cell": 3.774}



{"formula": "HfCu3I", "functional": "GGA-PBE", "state": "optimized geometry", "lattice": [[5.038, 0.000, 0.000], [0.000, 5.038, 0.000], [0.000, 0.000, 5.038]], "species": ["Cu", "Cu", "Hf", "Cu", "I"], "frac_coords": [[0.500, 0.000, 0.000], [0.000, 0.000, 0.500], [0.000, 0.000, 0.000], [0.000, 0.500, 0.000], [0.500, 0.500, 0.500]], "mass_density_g_cm3": 6.4, "e_tot_ev_per_cell": -18.04, "m_tot_mub_per_atom": 0.00, "raw_formation_energy_ev_per_atom": 1.15, "dos_at_fermi_per_ev_cell": 0.905}



{"formula": "HfCuI6", "functional": "GGA-PBE", "state": "optimized geometry", "lattice": [[6.469, 0.463, -0.198], [3.605, 8.719, 0.844], [3.149, 4.111, 6.775]], "species": ["I", "I", "Cu", "I", "I", "I", "I", "Hf"], "frac_coords": [[0.202, 0.840, 0.357], [0.866, 0.651, 0.222], [0.500, 0.500, 0.500], [0.398, 0.821, 0.850], [0.798, 0.160, 0.643], [0.602, 0.179, 0.150], [0.134, 0.349, 0.778], [0.000, 0.000, 0.000]], "mass_density_g_cm3": 4.7, "e_tot_ev_per_cell": -27.35, "m_tot_mub_per_atom": 0.06, "raw_formation_energy_ev_per_atom": -0.50, "dos_at_fermi_per_ev_cell": 5.469}